(1)
# TaReBr2 | Alexandria via LeMat-Bulk | SCAN | single point on PBEsol structure
# **Energy relative to the elements, uncorrected**: 1.286 eV per atom
# **Total energy**: -42.864 eV per atom
data_TaReBr2
_chemical_formula_sum 'Ta2 Re2 Br4'
_cell_length_a 4.242
_cell_length_b 4.242
_cell_length_c 7.857
_cell_angle_alpha 90.00
_cell_angle_beta 90.00
_cell_angle_gamma 90.00
_space_group_name_H-M_alt 'I -4 m 2'
_space_group_IT_number 119
_space_group_name_Hall 'I -4 -2'
loop_
_atom_site_label
_atom_site_type_symbol
_atom_site_fract_x
_atom_site_fract_y
_atom_site_fract_z
_atom_site_occupancy
Ta1 Ta 0.000 0.000 0.000 1
Re1 Re 0.000 0.500 0.750 1
Br1 Br 0.000 0.000 0.500 1
Br2 Br 0.000 0.500 0.250 1

=====

(2)
# TaReBr2 | Alexandria via LeMat-Bulk | SCAN | single point on PBEsol structure
# **Energy relative to the elements, uncorrected**: 0.301 eV per atom
# **Total energy**: -43.849 eV per atom
data_TaReBr2
_chemical_formula_sum 'Ta1 Re1 Br2'
_cell_length_a 4.549
_cell_length_b 3.109
_cell_length_c 6.732
_cell_angle_alpha 90.00
_cell_angle_beta 106.30
_cell_angle_gamma 90.00
_space_group_name_H-M_alt 'P 1 m 1'
_space_group_IT_number 6
_space_group_name_Hall 'P -2y'
loop_
_atom_site_label
_atom_site_type_symbol
_atom_site_fract_x
_atom_site_fract_y
_atom_site_fract_z
_atom_site_occupancy
Ta1 Ta 0.000 0.000 0.000 1
Re1 Re 0.439 0.500 0.965 1
Br1 Br 0.537 0.000 0.680 1
Br2 Br 0.872 0.500 0.290 1

=====

(3)
# ReTc2Br | Alexandria via LeMat-Bulk | SCAN | single point on PBEsol structure
# **Energy relative to the elements, uncorrected**: 1.180 eV per atom
# **Total energy**: -38.990 eV per atom
data_ReTc2Br
_chemical_formula_sum 'Re4 Tc8 Br4'
_cell_length_a 6.190
_cell_length_b 6.190
_cell_length_c 6.190
_cell_angle_alpha 90.00
_cell_angle_beta 90.00
_cell_angle_gamma 90.00
_space_group_name_H-M_alt 'F -4 3 m'
_space_group_IT_number 216
_space_group_name_Hall 'F -4 2 3'
loop_
_atom_site_label
_atom_site_type_symbol
_atom_site_fract_x
_atom_site_fract_y
_atom_site_fract_z
_atom_site_occupancy
Re1 Re 0.000 0.000 0.000 1
Tc1 Tc 0.000 0.000 0.500 1
Tc2 Tc 0.250 0.250 0.750 1
Br1 Br 0.250 0.250 0.250 1

=====

(4)
# Re2TcBr2 | Alexandria via LeMat-Bulk | SCAN | single point on PBEsol structure
# **Energy relative to the elements, uncorrected**: 1.484 eV per atom
# **Total energy**: -41.750 eV per atom
data_Re2TcBr2
_chemical_formula_sum 'Re4 Tc2 Br4'
_cell_length_a 3.930
_cell_length_b 3.930
_cell_length_c 11.702
_cell_angle_alpha 90.00
_cell_angle_beta 90.00
_cell_angle_gamma 90.00
_space_group_name_H-M_alt 'I 4/m m m'
_space_group_IT_number 139
_space_group_name_Hall '-I 4 2'
loop_
_atom_site_label
_atom_site_type_symbol
_atom_site_fract_x
_atom_site_fract_y
_atom_site_fract_z
_atom_site_occupancy
Re1 Re 0.000 0.000 0.098 1
Tc1 Tc 0.000 0.000 0.500 1
Br1 Br 0.000 0.500 0.250 1